## CeZr2ScP4 (PBE-GGA)

Data for crystalline CeZr2ScP4 at its relaxed geometry.

Cell and atoms, written as extended XYZ:
```
8
Lattice="6.6008 0.0000 0.0000 0.0000 3.8163 0.0000 -2.1991 0.0000 6.3094" Properties=species:S:1:pos:R:3 pbc="T T T"
Ce 0.0000 0.0000 0.0000
Zr -1.0996 1.9082 3.1547
Zr 2.2009 0.0000 3.1547
Sc 3.3004 1.9082 0.0000
P 0.0495 0.0000 4.6983
P 1.1545 1.9082 1.6539
P 3.2472 1.9082 4.6555
P 4.3522 0.0000 1.6112
```

* DFT total energy: -7.810 eV/atom
* formation energy: -1.4345 eV per atom
* V: 158.9 Å³/cell

## TbY3O (PBE-GGA)

Data for crystalline TbY3O at its relaxed geometry.

Cell and atoms, written as extended XYZ:
```
5
Lattice="4.9659 0.0000 0.0000 0.0000 4.9659 0.0000 0.0000 0.0000 4.9659" Properties=species:S:1:pos:R:3 pbc="T T T"
Tb 0.0000 0.0000 0.0000
Y 0.0000 2.4829 2.4829
Y 2.4829 0.0000 2.4829
Y 2.4829 2.4829 0.0000
O 2.4829 2.4829 2.4829
```

* DFT total energy: -6.868 eV/atom
* E_form (uncorrected): -1.0720 eV/atom
* offset from the most stable computed form: 0.032 eV/atom
* V: 122.5 Å³/cell

## Mg2VCo2 (PBE-GGA)

Data for crystalline Mg2VCo2 at its relaxed geometry.

Cell and atoms, written as extended XYZ:
```
10
Lattice="5.9224 0.0000 0.0000 0.0000 5.9224 0.0000 0.0000 0.0000 4.2424" Properties=species:S:1:pos:R:3 pbc="T T T"
Mg 1.0416 1.9196 0.0000
Mg 1.9196 4.8807 0.0000
Mg 4.0028 1.0416 0.0000
Mg 4.8807 4.0028 0.0000
V 0.0000 0.0000 2.1212
V 2.9612 2.9612 2.1212
Co 0.7749 3.7360 2.1212
Co 2.1863 0.7749 2.1212
Co 3.7360 5.1475 2.1212
Co 5.1475 2.1863 2.1212
```

* DFT total energy: -5.207 eV/atom
* formation energy: 0.0972 eV per atom
* V: 148.8 Å³/cell

## FeAg2 (PBE-GGA)

Data for crystalline FeAg2 at its relaxed geometry.

Cell and atoms, written as extended XYZ:
```
3
Lattice="4.6060 0.0000 0.0000 0.0000 4.6060 0.0000 0.0000 0.0000 2.7362" Properties=species:S:1:pos:R:3 pbc="T T T"
Fe 0.0000 0.0000 0.0000
Ag 0.0000 2.3030 1.3681
Ag 2.3030 0.0000 1.3681
```

* DFT total energy: -4.146 eV/atom
* formation energy: 0.5760 eV per atom
* V: 58.0 Å³/cell

## Rb3As2Pd4 (PBE-GGA)

Data for crystalline Rb3As2Pd4 at its relaxed geometry.

Cell and atoms, written as extended XYZ:
```
9
Lattice="6.3835 -2.1774 0.0000 6.3835 2.1774 0.0000 -3.3786 0.0000 8.6553" Properties=species:S:1:pos:R:3 pbc="T T T"
Rb 0.0000 0.0000 0.0000
Rb 2.6547 0.0000 5.3982
Rb 6.7337 0.0000 3.2571
As 3.3985 0.0000 1.8761
As 5.9899 0.0000 6.7793
Pd -1.0350 0.0000 5.5879
Pd 0.2348 0.0000 7.9804
Pd 9.1537 0.0000 0.6749
Pd 10.4234 0.0000 3.0674
```

* DFT total energy: -3.966 eV/atom
* formation energy: -0.3022 eV per atom
* V: 240.6 Å³/cell

## NaCa2CoH6 (PBE-GGA)

Data for crystalline NaCa2CoH6 at its relaxed geometry.

Cell and atoms, written as extended XYZ:
```
10
Lattice="4.7801 0.0000 0.0000 -2.3901 4.1397 0.0000 0.0000 0.0000 6.4539" Properties=species:S:1:pos:R:3 pbc="T T T"
Na 0.0000 0.0000 0.0000
Ca 0.0000 2.7598 4.2835
Ca 2.3901 1.3799 2.1704
Co 0.0000 0.0000 3.2270
H 0.0000 1.2835 2.3014
H -1.2785 3.4980 2.3014
H 1.1115 0.6418 4.1525
H 1.2785 3.4980 2.3014
H 3.6686 0.6418 4.1525
H 2.3901 2.8562 4.1525
```

* DFT total energy: -3.618 eV/atom
* V: 127.7 Å³/cell

## Sr3Pa (PBE-GGA)

Data for crystalline Sr3Pa at its relaxed geometry.

Cell and atoms, written as extended XYZ:
```
4
Lattice="5.6218 0.0000 0.0000 0.0000 5.6218 0.0000 0.0000 0.0000 5.6218" Properties=species:S:1:pos:R:3 pbc="T T T"
Sr 0.0000 0.0000 2.8109
Sr 0.0000 2.8109 0.0000
Sr 2.8109 0.0000 0.0000
Pa 2.8109 2.8109 2.8109
```

* DFT total energy: -2.921 eV/atom
* formation energy: 0.7148 eV per atom
* offset from the most stable computed form: 0.000 eV/atom
* V: 177.7 Å³/cell

## KNpZnTe3 (PBE-GGA)

Data for crystalline KNpZnTe3 at its relaxed geometry.

Cell and atoms, written as extended XYZ:
```
12
Lattice="9.6686 0.0000 0.0000 0.0000 4.4428 0.0000 -3.2372 0.0000 10.0540" Properties=species:S:1:pos:R:3 pbc="T T T"
K 1.2799 1.1107 2.4296
K 5.1515 3.3321 7.6243
Np 0.3531 3.3321 8.6103
Np 6.0784 1.1107 1.4437
Zn -1.1424 1.1107 6.1281
Zn 7.5738 3.3321 3.9259
Te -1.8615 1.1107 8.6761
Te 0.2742 3.3321 5.3681
Te 3.9218 3.3321 1.6499
Te 2.5096 1.1107 8.4041
Te 6.1572 1.1107 4.6859
Te 8.2930 3.3321 1.3778
```

* DFT total energy: -4.841 eV/atom
* E_form (uncorrected): -0.7179 eV/atom
* V: 431.9 Å³/cell

## KTa2In (PBE-GGA)

Data for crystalline KTa2In at its relaxed geometry.

Cell and atoms, written as extended XYZ:
```
4
Lattice="1.5093 0.8714 11.6102 -1.5093 0.8714 11.6102 0.0000 -1.7427 11.6102" Properties=species:S:1:pos:R:3 pbc="T T T"
K 0.0000 0.0000 0.0000
Ta 0.0000 0.0000 8.3204
Ta 0.0000 0.0000 26.5104
In 0.0000 0.0000 17.4154
```

* DFT total energy: -6.094 eV/atom
* formation energy: 0.7918 eV per atom
* V: 91.6 Å³/cell

## Mg2BiAuBr (PBE-GGA)

Data for crystalline Mg2BiAuBr at its relaxed geometry.

Cell and atoms, written as extended XYZ:
```
5
Lattice="5.2342 0.0000 0.0000 0.0000 5.2342 0.0000 0.0000 0.0000 5.3246" Properties=species:S:1:pos:R:3 pbc="T T T"
Mg 0.0000 2.6171 0.0000
Mg 2.6171 0.0000 0.0000
Bi 0.0000 0.0000 2.6623
Au 2.6171 2.6171 0.0000
Br 2.6171 2.6171 2.6623
```

* DFT total energy: -2.269 eV/atom
* E_form (uncorrected): 0.1353 eV/atom
* V: 145.9 Å³/cell

## Li3B4C4 (PBE-GGA)

Data for crystalline Li3B4C4 at its relaxed geometry.

Cell and atoms, written as extended XYZ:
```
22
Lattice="0.0000 7.1669 2.7259 4.7172 0.0000 2.7259 4.7172 7.1669 0.0000" Properties=species:S:1:pos:R:3 pbc="T T T"
Li 0.0000 0.0000 0.0000
Li 7.0802 7.1636 1.3701
Li 2.3586 3.5834 1.3629
Li 4.7216 3.5868 2.7330
Li 2.3541 7.1702 1.3701
Li 4.7127 10.7470 2.7330
B 6.2852 5.3771 2.7256
B 3.9382 5.4298 1.3825
B 5.4961 8.9039 1.3825
B 7.8547 9.0133 2.7455
B 1.5796 5.3205 2.7455
B 3.9266 5.3733 4.0885
B 3.1491 8.9567 2.7256
B 5.5077 8.9605 4.0885
C 5.5047 5.3739 1.3704
C 7.8654 5.4436 2.7374
C 3.9296 8.9598 1.3704
C 6.2882 8.9574 2.7334
C 5.5069 5.3068 4.1003
C 3.1461 5.3764 2.7334
C 1.5689 8.8902 2.7374
C 3.9274 9.0270 4.1003
```

* DFT total energy: -6.535 eV/atom
* formation energy: -0.2303 eV per atom
* offset from the most stable computed form: 0.011 eV/atom
* V: 184.3 Å³/cell

## Sr2MgGaPt (PBE-GGA)

Data for crystalline Sr2MgGaPt at its relaxed geometry.

Cell and atoms, written as extended XYZ:
```
5
Lattice="6.0711 0.0000 0.0000 0.0000 6.0711 0.0000 0.0000 0.0000 4.6368" Properties=species:S:1:pos:R:3 pbc="T T T"
Sr 0.0000 3.0356 0.0000
Sr 3.0356 0.0000 0.0000
Mg 0.0000 0.0000 2.3184
Ga 3.0356 3.0356 0.0000
Pt 3.0356 3.0356 2.3184
```

* DFT total energy: -2.975 eV/atom
* formation energy: -0.1697 eV per atom
* offset from the most stable computed form: 0.238 eV/atom
* V: 170.9 Å³/cell

## MnBeCuH2 (PBE-GGA)

Data for crystalline MnBeCuH2 at its relaxed geometry.

Cell and atoms, written as extended XYZ:
```
5
Lattice="3.1906 0.0000 0.0000 0.0000 3.1906 0.0000 0.0000 0.0000 5.2430" Properties=species:S:1:pos:R:3 pbc="T T T"
Mn 0.0000 0.0000 0.0000
Be 1.5953 1.5953 0.0000
Cu 0.0000 0.0000 2.6215
H 0.0000 1.5953 2.6215
H 1.5953 0.0000 2.6215
```

* DFT total energy: -4.018 eV/atom
* V: 53.4 Å³/cell

## Rb2ScBiBr6 (PBE-GGA)

Data for crystalline Rb2ScBiBr6 at its relaxed geometry.

Cell and atoms, written as extended XYZ:
```
10
Lattice="-3.9308 3.9308 6.6040 3.9308 -3.9308 6.6040 3.9308 3.9308 -6.6040" Properties=species:S:1:pos:R:3 pbc="T T T"
Rb 3.9308 0.0000 3.3020
Rb 0.0000 3.9308 3.3020
Sc 0.0000 0.0000 0.0000
Bi 0.0000 0.0000 6.6040
Br 0.0000 0.0000 2.6642
Br 1.8822 1.8822 0.0000
Br 2.0486 -2.0486 6.6040
Br -2.0486 2.0486 6.6040
Br 2.0486 2.0486 6.6040
Br 0.0000 0.0000 10.5438
```

* DFT total energy: -3.501 eV/atom
* E_form (uncorrected): -1.2822 eV/atom
* V: 408.2 Å³/cell

## LuCrInRu (PBE-GGA)

Data for crystalline LuCrInRu at its relaxed geometry.

Cell and atoms, written as extended XYZ:
```
4
Lattice="0.0000 3.3156 3.3156 3.3156 0.0000 3.3156 3.3156 3.3156 0.0000" Properties=species:S:1:pos:R:3 pbc="T T T"
Lu 0.0000 0.0000 0.0000
Cr 1.6578 1.6578 1.6578
In 3.3156 3.3156 3.3156
Ru 4.9734 4.9734 4.9734
```

* DFT total energy: -6.607 eV/atom
* formation energy: -0.0674 eV per atom
* V: 72.9 Å³/cell

## Be2HgRh (PBE-GGA)

Data for crystalline Be2HgRh at its relaxed geometry.

Cell and atoms, written as extended XYZ:
```
4
Lattice="1.4269 0.8238 7.9537 -1.4269 0.8238 7.9537 0.0000 -1.6476 7.9537" Properties=species:S:1:pos:R:3 pbc="T T T"
Be 0.0000 0.0000 0.0000
Be 0.0000 0.0000 6.2839
Hg 0.0000 0.0000 18.1445
Rh 0.0000 0.0000 12.6726
```

* DFT total energy: -3.455 eV/atom
* formation energy: 0.3218 eV per atom
* V: 56.1 Å³/cell

## Cu6SnS8 (PBE-GGA)

Data for crystalline Cu6SnS8 at its relaxed geometry.

Cell and atoms, written as extended XYZ:
```
15
Lattice="4.6225 2.6688 3.6823 -4.6225 2.6688 3.6823 0.0000 -5.3376 3.6823" Properties=species:S:1:pos:R:3 pbc="T T T"
Cu -1.7956 -0.2643 4.2174
Cu 1.1267 -1.4229 4.2174
Cu -0.6689 -1.6872 6.8296
Cu 0.6689 1.6872 4.2174
Cu -1.1267 1.4229 6.8296
Cu 1.7956 0.2643 6.8296
Sn 0.0000 0.0000 0.0000
S -0.8756 -2.4673 4.6464
S 0.0000 0.0000 2.7806
S -2.5745 -0.4754 6.4006
S -1.6989 1.9919 4.6464
S 1.6989 -1.9919 6.4006
S 2.5745 0.4754 4.6464
S 0.0000 0.0000 8.2664
S 0.8756 2.4673 6.4006
```

* DFT total energy: -4.124 eV/atom
* E_form (uncorrected): -0.0175 eV/atom
* V: 272.6 Å³/cell